This record from Alexandria describes a relaxed KMn2O4 crystal. The functional is PBE+U.

Calculated values
energy: -6.690 eV per atom
space group: P2_1/m, No. 11
ρ: 3.5 g/cm³
offset from the most stable computed form: 0.1 meV per atom
size of the total moment: 1.000 μB/atom

Cell lengths 3.051, 12.688, 5.162 Å; angles 90.00, 93.27, 90.00 degrees
Atoms (fractional coordinates):
K: 0.040 0.250 0.169
K: 0.960 0.750 0.831
Mn: 0.000 0.000 0.500
Mn: 0.000 0.500 0.500
Mn: 0.500 0.000 0.000
Mn: 0.500 0.500 0.000
O: 0.012 0.578 0.157
O: 0.012 0.922 0.157
O: 0.453 0.582 0.684
O: 0.453 0.918 0.684
O: 0.547 0.082 0.316
O: 0.547 0.418 0.316
O: 0.988 0.078 0.843
O: 0.988 0.422 0.843